Entry 1:
TaSiSb2 | GGA-PBE | optimized geometry

Unit cell a=4.761 b=4.761 c=6.230 alpha=85.47 beta=85.47 gamma=42.86
Sites, in units of the cell vectors:
Ta (0.748, 0.748, 0.671)
Si (0.468, 0.468, 0.592)
Sb (0.249, 0.249, 0.308)
Sb (0.035, 0.035, 0.929)

Properties
Formation energy from raw total energies, meV/atom: 195
Symmetry: No. 8



Entry 2:
Tl2In7 | GGA-PBE | optimized geometry

Unit cell a=5.934 b=5.934 c=8.265 alpha=90.00 beta=90.00 gamma=120.00
Sites, in units of the cell vectors:
Tl (0.333, 0.667, 0.000)
Tl (0.667, 0.333, 0.000)
In (0.331, 0.331, 0.337)
In (0.669, 0.000, 0.337)
In (0.669, 0.669, 0.663)
In (0.000, 0.000, 0.000)
In (0.000, 0.331, 0.663)
In (0.000, 0.669, 0.337)
In (0.331, 0.000, 0.663)

Properties
ΔE_f, kJ per mole of atoms: 2.9
Symmetry: No. 162



Entry 3:
Y8Te3AsP3 | GGA-PBE | optimized geometry

Unit cell a=8.204 b=8.204 c=8.443 alpha=119.07 beta=90.00 gamma=120.00
Sites, in units of the cell vectors:
Y (0.736, 0.472, 0.708)
Y (0.756, 0.026, 0.282)
Y (0.264, 0.528, 0.292)
Y (0.244, 0.974, 0.718)
Y (0.244, 0.488, 0.718)
Y (0.730, 0.974, 0.718)
Y (0.756, 0.512, 0.282)
Y (0.270, 0.026, 0.282)
As (0.000, 0.000, 0.500)
P (0.500, 0.000, 0.500)
P (0.000, 0.500, 0.500)
P (0.500, 0.500, 0.500)
Te (0.000, 0.500, 0.000)
Te (0.000, 0.000, 0.000)
Te (0.500, 0.500, 0.000)

Properties
Formation energy from raw total energies, meV/atom: -1437
Symmetry: No. 166